VASP calculation (PBE-GGA) on an optimized crystal structure of SmYIn2Se4.

Lattice parameters (Å, degrees): 4.195 8.103 7.265 72.62 90.00 90.00
Positions (direct):
Sm 0.500 0.500 0.000
Se 0.000 0.288 0.242
Se 0.000 0.712 0.758
Se 0.500 0.710 0.268
Se 0.500 0.290 0.732
In 0.500 0.000 0.500
In 0.000 0.000 0.000
Y 0.000 0.500 0.500

Calculated values
**Volume**: 29.462 Å³/atom
**Final energy**: -41.02 eV for the cell shown
**ΔE_f (raw)**: -1.302 eV per atom

=====

VASP calculation (PBE-GGA) on an optimized crystal structure of Pm5CSe4.

Lattice parameters (Å, degrees): 4.115 4.115 15.018 97.87 97.87 90.00
Positions (direct):
Pm 0.705 0.705 0.409
Pm 0.295 0.295 0.591
Pm 0.083 0.083 0.166
Pm 0.500 0.500 0.000
Pm 0.917 0.917 0.834
Se 0.806 0.806 0.613
Se 0.194 0.194 0.387
Se 0.600 0.600 0.201
Se 0.400 0.400 0.799
C 0.000 0.000 0.000

Calculated values
**Energy relative to the lowest polymorph listed for this composition**: 0.047 eV per atom
**Volume**: 24.949 Å³/atom
**Final energy**: -61.77 eV for the cell shown
**ΔE_f (raw)**: -1.485 eV per atom